Entry P
{"formula": "PmC", "functional": "GGA-PBE", "state": "optimized geometry", "volume_a3_per_cell": 44.0, "spacegroup": "F-43m, No. 216", "cell": [[0.000, 2.802, 2.802], [2.802, 0.000, 2.802], [2.802, 2.802, 0.000]], "species": ["Pm", "C"], "frac_coords": [[0.000, 0.000, 0.000], [0.250, 0.250, 0.250]]}



Entry Q
{"formula": "PmC", "functional": "GGA-PBE", "state": "optimized geometry", "volume_a3_per_cell": 88.6, "spacegroup": "C2/m, No. 12", "cell": [[3.844, -1.823, 0.000], [3.844, 1.823, 0.000], [-0.252, 0.000, 6.321]], "species": ["Pm", "Pm", "C", "C"], "frac_coords": [[0.139, 0.139, 0.277], [0.861, 0.861, 0.723], [0.421, 0.421, 0.449], [0.579, 0.579, 0.551]]}



Q: Which of them is the least stable? A: entry P.



Entry P
{"formula": "PrC2", "functional": "GGA-PBE", "state": "optimized geometry", "volume_a3_per_cell": 316.0, "spacegroup": "Fd-3m, No. 227", "cell": [[0.000, 5.406, 5.406], [5.406, 0.000, 5.406], [5.406, 5.406, 0.000]], "species": ["Pr", "Pr", "C", "C", "C", "C"], "frac_coords": [[0.125, 0.125, 0.125], [0.875, 0.875, 0.875], [0.000, 0.000, 0.000], [0.000, 0.000, 0.500], [0.000, 0.500, 0.000], [0.500, 0.000, 0.000]]}



Entry Q
{"formula": "PrC2", "functional": "GGA-PBE", "state": "optimized geometry", "volume_a3_per_cell": 48.7, "spacegroup": "I4/mmm, No. 139", "cell": [[-1.934, 1.934, 3.253], [1.934, -1.934, 3.253], [1.934, 1.934, -3.253]], "species": ["Pr", "C", "C"], "frac_coords": [[0.000, 0.000, 0.000], [0.400, 0.400, 0.000], [0.600, 0.600, 0.000]]}



Q: Which of them is the least stable? A: entry P.



Entry P
{"formula": "PtC8", "functional": "GGA-PBE", "state": "optimized geometry", "volume_a3_per_cell": 93.2, "spacegroup": "P6/mmm, No. 191", "cell": [[4.965, 0.000, 0.000], [-2.483, 4.300, 0.000], [0.000, 0.000, 4.366]], "species": ["Pt", "C", "C", "C", "C", "C", "C", "C", "C"], "frac_coords": [[0.000, 0.000, 0.000], [0.168, 0.336, 0.500], [0.168, 0.832, 0.500], [0.333, 0.667, 0.500], [0.336, 0.168, 0.500], [0.664, 0.832, 0.500], [0.667, 0.333, 0.500], [0.832, 0.168, 0.500], [0.832, 0.664, 0.500]]}



Entry Q
{"formula": "PtC8", "functional": "GGA-PBE", "state": "optimized geometry", "volume_a3_per_cell": 183.2, "spacegroup": "Fddd, No. 70", "cell": [[0.000, 4.305, 8.569], [2.483, 0.000, 8.569], [2.483, 4.305, 0.000]], "species": ["Pt", "Pt", "C", "C", "C", "C", "C", "C", "C", "C", "C", "C", "C", "C", "C", "C", "C", "C"], "frac_coords": [[0.125, 0.125, 0.125], [0.875, 0.875, 0.875], [0.080, 0.414, 0.336], [0.083, 0.415, 0.833], [0.167, 0.832, 0.917], [0.168, 0.833, 0.415], [0.330, 0.664, 0.586], [0.336, 0.670, 0.080], [0.414, 0.080, 0.670], [0.415, 0.083, 0.168], [0.585, 0.917, 0.832], [0.586, 0.920, 0.330], [0.664, 0.330, 0.920], [0.670, 0.336, 0.414], [0.832, 0.167, 0.585], [0.833, 0.168, 0.083], [0.917, 0.585, 0.167], [0.920, 0.586, 0.664]]}



Q: Which of them is the least stable? A: entry P.



Entry P
{"formula": "TmSnPtC", "functional": "GGA-PBE", "state": "optimized geometry", "volume_a3_per_cell": 146.6, "spacegroup": "P-6m2, No. 187", "cell": [[4.405, 0.000, 0.000], [-2.202, 3.815, 0.000], [0.000, 0.000, 8.722]], "species": ["Tm", "Tm", "Sn", "Sn", "Pt", "Pt", "C", "C"], "frac_coords": [[0.000, 0.000, 0.000], [0.333, 0.667, 0.500], [0.667, 0.333, 0.227], [0.667, 0.333, 0.773], [0.000, 0.000, 0.338], [0.000, 0.000, 0.662], [0.333, 0.667, 0.204], [0.333, 0.667, 0.796]]}



Entry Q
{"formula": "TmSnPtC", "functional": "GGA-PBE", "state": "optimized geometry", "volume_a3_per_cell": 139.6, "spacegroup": "P-3m1, No. 164", "cell": [[4.530, 0.000, 0.000], [-2.265, 3.923, 0.000], [0.000, 0.000, 7.856]], "species": ["Tm", "Tm", "Sn", "Sn", "Pt", "Pt", "C", "C"], "frac_coords": [[0.333, 0.667, 0.315], [0.667, 0.333, 0.685], [0.000, 0.000, 0.000], [0.000, 0.000, 0.500], [0.333, 0.667, 0.883], [0.667, 0.333, 0.117], [0.333, 0.667, 0.623], [0.667, 0.333, 0.377]]}



Entry R
{"formula": "TmSnPtC", "functional": "GGA-PBE", "state": "optimized geometry", "volume_a3_per_cell": 147.8, "spacegroup": "P6_3mc, No. 186", "cell": [[4.801, 0.000, 0.000], [-2.401, 4.158, 0.000], [0.000, 0.000, 7.401]], "species": ["Tm", "Tm", "Sn", "Sn", "Pt", "Pt", "C", "C"], "frac_coords": [[0.333, 0.667, 0.000], [0.667, 0.333, 0.500], [0.000, 0.000, 0.243], [0.000, 0.000, 0.743], [0.333, 0.667, 0.588], [0.667, 0.333, 0.088], [0.333, 0.667, 0.321], [0.667, 0.333, 0.821]]}



Entry S
{"formula": "TmSnPtC", "functional": "GGA-PBE", "state": "optimized geometry", "volume_a3_per_cell": 157.6, "spacegroup": "P-6m2, No. 187", "cell": [[4.206, 0.000, 0.000], [-2.103, 3.642, 0.000], [0.000, 0.000, 10.286]], "species": ["Tm", "Tm", "Sn", "Sn", "Pt", "Pt", "C", "C"], "frac_coords": [[0.000, 0.000, 0.000], [0.333, 0.667, 0.500], [0.667, 0.333, 0.234], [0.667, 0.333, 0.766], [0.000, 0.000, 0.358], [0.000, 0.000, 0.642], [0.333, 0.667, 0.064], [0.333, 0.667, 0.936]]}



Q: Which of them is the least stable? A: entry P.



Entry P
{"formula": "PuC", "functional": "GGA-PBE", "state": "optimized geometry", "volume_a3_per_cell": 59.8, "spacegroup": "P6_3/mmc, No. 194", "cell": [[3.389, 0.000, 0.000], [-1.695, 2.935, 0.000], [0.000, 0.000, 6.009]], "species": ["Pu", "Pu", "C", "C"], "frac_coords": [[0.333, 0.667, 0.250], [0.667, 0.333, 0.750], [0.000, 0.000, 0.000], [0.000, 0.000, 0.500]]}



Entry Q
{"formula": "PuC", "functional": "GGA-PBE", "state": "optimized geometry", "volume_a3_per_cell": 36.4, "spacegroup": "F-43m, No. 216", "cell": [[0.000, 2.632, 2.632], [2.632, 0.000, 2.632], [2.632, 2.632, 0.000]], "species": ["Pu", "C"], "frac_coords": [[0.000, 0.000, 0.000], [0.250, 0.250, 0.250]]}



Q: Which of them is the least stable? A: entry Q.



Entry P
{"formula": "PuTaC2", "functional": "GGA-PBE", "state": "optimized geometry", "volume_a3_per_cell": 52.0, "spacegroup": "R-3m, No. 166", "cell": [[1.634, 0.943, 5.626], [-1.634, 0.943, 5.626], [0.000, -1.886, 5.626]], "species": ["Pu", "Ta", "C", "C"], "frac_coords": [[0.000, 0.000, 0.000], [0.500, 0.500, 0.500], [0.241, 0.241, 0.241], [0.759, 0.759, 0.759]]}



Entry Q
{"formula": "PuTaC2", "functional": "GGA-PBE", "state": "optimized geometry", "volume_a3_per_cell": 49.7, "spacegroup": "P4/mmm, No. 123", "cell": [[3.285, 0.000, 0.000], [0.000, 3.285, 0.000], [0.000, 0.000, 4.609]], "species": ["Pu", "Ta", "C", "C"], "frac_coords": [[0.000, 0.000, 0.000], [0.500, 0.500, 0.500], [0.000, 0.000, 0.500], [0.500, 0.500, 0.000]]}



Q: Which of them is the least stable? A: entry Q.



Entry P
{"formula": "Re2C", "functional": "GGA-PBE", "state": "optimized geometry", "volume_a3_per_cell": 92.3, "spacegroup": "Fd-3m, No. 227", "cell": [[0.000, 3.588, 3.588], [3.588, 0.000, 3.588], [3.588, 3.588, 0.000]], "species": ["Re", "Re", "Re", "Re", "C", "C"], "frac_coords": [[0.000, 0.000, 0.000], [0.000, 0.000, 0.500], [0.000, 0.500, 0.000], [0.500, 0.000, 0.000], [0.375, 0.375, 0.375], [0.625, 0.625, 0.625]]}



Entry Q
{"formula": "Re2C", "functional": "GGA-PBE", "state": "optimized geometry", "volume_a3_per_cell": 37.3, "spacegroup": "Fm-3m, No. 225", "cell": [[0.000, 2.652, 2.652], [2.652, 0.000, 2.652], [2.652, 2.652, 0.000]], "species": ["Re", "Re", "C"], "frac_coords": [[0.250, 0.250, 0.250], [0.750, 0.750, 0.750], [0.000, 0.000, 0.000]]}



Q: Which of them is the least stable? A: entry P.



Entry P
{"formula": "YZrCS", "functional": "GGA-PBE", "state": "optimized geometry", "volume_a3_per_cell": 137.6, "spacegroup": "P-6m2, No. 187", "cell": [[3.546, 0.000, 0.000], [-1.773, 3.071, 0.000], [0.000, 0.000, 12.636]], "species": ["Y", "Y", "Zr", "Zr", "C", "C", "S", "S"], "frac_coords": [[0.000, 0.000, 0.151], [0.000, 0.000, 0.849], [0.333, 0.667, 0.357], [0.333, 0.667, 0.643], [0.667, 0.333, 0.266], [0.667, 0.333, 0.734], [0.000, 0.000, 0.500], [0.333, 0.667, 0.000]]}



Entry Q
{"formula": "YZrCS", "functional": "GGA-PBE", "state": "optimized geometry", "volume_a3_per_cell": 138.5, "spacegroup": "P-3m1, No. 164", "cell": [[3.562, 0.000, 0.000], [-1.781, 3.085, 0.000], [0.000, 0.000, 12.608]], "species": ["Y", "Y", "Zr", "Zr", "C", "C", "S", "S"], "frac_coords": [[0.333, 0.667, 0.392], [0.667, 0.333, 0.608], [0.333, 0.667, 0.096], [0.667, 0.333, 0.904], [0.000, 0.000, 0.000], [0.000, 0.000, 0.500], [0.333, 0.667, 0.765], [0.667, 0.333, 0.235]]}



Q: Which of them is the least stable? A: entry Q.



Entry P
{"formula": "TmZrSbC", "functional": "GGA-PBE", "state": "optimized geometry", "volume_a3_per_cell": 154.6, "spacegroup": "P-6m2, No. 187", "cell": [[3.496, 0.000, 0.000], [-1.748, 3.027, 0.000], [0.000, 0.000, 14.608]], "species": ["Tm", "Tm", "Zr", "Zr", "Sb", "Sb", "C", "C"], "frac_coords": [[0.000, 0.000, 0.169], [0.000, 0.000, 0.831], [0.667, 0.333, 0.343], [0.667, 0.333, 0.657], [0.000, 0.000, 0.500], [0.667, 0.333, 0.000], [0.333, 0.667, 0.261], [0.333, 0.667, 0.739]]}



Entry Q
{"formula": "TmZrSbC", "functional": "GGA-PBE", "state": "optimized geometry", "volume_a3_per_cell": 156.0, "spacegroup": "P-3m1, No. 164", "cell": [[3.517, 0.000, 0.000], [-1.758, 3.046, 0.000], [0.000, 0.000, 14.562]], "species": ["Tm", "Tm", "Zr", "Zr", "Sb", "Sb", "C", "C"], "frac_coords": [[0.333, 0.667, 0.410], [0.667, 0.333, 0.590], [0.333, 0.667, 0.083], [0.667, 0.333, 0.917], [0.333, 0.667, 0.759], [0.667, 0.333, 0.241], [0.000, 0.000, 0.000], [0.000, 0.000, 0.500]]}



Q: Which of them is the least stable? A: entry Q.



Entry P
{"formula": "SbW2C", "functional": "GGA-PBE", "state": "optimized geometry", "volume_a3_per_cell": 122.0, "spacegroup": "C2/c, No. 15", "cell": [[1.596, -2.763, 0.000], [1.596, 2.763, 0.000], [-0.681, 0.000, 13.833]], "species": ["Sb", "Sb", "W", "W", "W", "W", "C", "C"], "frac_coords": [[0.130, 0.870, 0.750], [0.870, 0.130, 0.250], [0.187, 0.348, 0.580], [0.348, 0.187, 0.080], [0.652, 0.813, 0.920], [0.813, 0.652, 0.420], [0.000, 0.500, 0.000], [0.500, 0.000, 0.500]]}



Entry Q
{"formula": "SbW2C", "functional": "GGA-PBE", "state": "optimized geometry", "volume_a3_per_cell": 120.7, "spacegroup": "P6_3/mmc, No. 194", "cell": [[3.261, 0.000, 0.000], [-1.630, 2.824, 0.000], [0.000, 0.000, 13.103]], "species": ["Sb", "Sb", "W", "W", "W", "W", "C", "C"], "frac_coords": [[0.333, 0.667, 0.250], [0.667, 0.333, 0.750], [0.333, 0.667, 0.581], [0.333, 0.667, 0.919], [0.667, 0.333, 0.081], [0.667, 0.333, 0.419], [0.000, 0.000, 0.000], [0.000, 0.000, 0.500]]}



Q: Which of them is the least stable? A: entry Q.



Entry P
{"formula": "ZrScSnC", "functional": "GGA-PBE", "state": "optimized geometry", "volume_a3_per_cell": 145.9, "spacegroup": "P6_3mc, No. 186", "cell": [[3.373, 0.000, 0.000], [-1.686, 2.921, 0.000], [0.000, 0.000, 14.811]], "species": ["Zr", "Zr", "Sc", "Sc", "Sn", "Sn", "C", "C"], "frac_coords": [[0.333, 0.667, 0.000], [0.667, 0.333, 0.500], [0.333, 0.667, 0.666], [0.667, 0.333, 0.166], [0.333, 0.667, 0.334], [0.667, 0.333, 0.834], [0.000, 0.000, 0.083], [0.000, 0.000, 0.583]]}



Entry Q
{"formula": "ZrScSnC", "functional": "GGA-PBE", "state": "optimized geometry", "volume_a3_per_cell": 145.8, "spacegroup": "P-6m2, No. 187", "cell": [[3.376, 0.000, 0.000], [-1.688, 2.923, 0.000], [0.000, 0.000, 14.779]], "species": ["Zr", "Zr", "Sc", "Sc", "Sn", "Sn", "C", "C"], "frac_coords": [[0.000, 0.000, 0.166], [0.000, 0.000, 0.834], [0.667, 0.333, 0.332], [0.667, 0.333, 0.668], [0.000, 0.000, 0.500], [0.667, 0.333, 0.000], [0.333, 0.667, 0.248], [0.333, 0.667, 0.752]]}



Entry R
{"formula": "ZrScSnC", "functional": "GGA-PBE", "state": "optimized geometry", "volume_a3_per_cell": 146.7, "spacegroup": "P-3m1, No. 164", "cell": [[3.383, 0.000, 0.000], [-1.692, 2.930, 0.000], [0.000, 0.000, 14.799]], "species": ["Zr", "Zr", "Sc", "Sc", "Sn", "Sn", "C", "C"], "frac_coords": [[0.333, 0.667, 0.416], [0.667, 0.333, 0.584], [0.333, 0.667, 0.081], [0.667, 0.333, 0.919], [0.333, 0.667, 0.749], [0.667, 0.333, 0.251], [0.000, 0.000, 0.000], [0.000, 0.000, 0.500]]}



Q: Which of them is the least stable? A: entry R.